Run P
Pr2SmEr3 | PBE | optimized geometry

abc: 17.940 3.519 14.307
angles: 90.00 117.39 90.00
Space group C2/m (No. 12)
One atom of each set of equivalent atoms:
Pr: 0.155 0.000 0.467
Pr: 0.180 0.500 0.881
Sm: 0.063 0.000 0.643
Er: 0.039 0.500 0.206
Er: 0.098 0.000 0.026
Er: 0.237 0.000 0.292

Computed properties:
As for the density of states at the Fermi level: 38.70 states/eV/cell.


Run Q
Pr2SmEr3 | PBE | optimized geometry

abc: 16.782 5.711 9.827
angles: 90.00 122.12 90.00
Space group C2/m (No. 12)
One atom of each set of equivalent atoms:
Pr: 0.110 0.000 0.062
Pr: 0.147 0.500 0.653
Sm: 0.048 0.500 0.217
Er: 0.044 0.000 0.682
Er: 0.193 0.000 0.497
Er: 0.218 0.500 0.068

Computed properties:
As for the density of states at the Fermi level: 37.10 states/eV/cell.


Energies relative to the most stable structure are run P 15; run Q 0, reported in meV/atom.


Run P
Pr3Sm6Er2 | PBE | optimized geometry

abc: 4.828 4.828 33.590
angles: 90.00 90.00 90.00
Space group I4/mmm (No. 139)
One atom of each set of equivalent atoms:
Pr: 0.000 0.000 0.000
Pr: 0.000 0.000 0.203
Sm: 0.000 0.000 0.306
Sm: 0.000 0.500 0.119
Er: 0.000 0.000 0.454

Computed properties:
As for the density of states at the Fermi level: 30.02 states/eV/cell.


Run Q
Pr3Sm6Er2 | PBE | optimized geometry

abc: 5.7608 5.7608 39.1800
angles: 90.00 90.00 120.00
Space group R-3m (No. 166, hexagonal axes)
One atom of each set of equivalent atoms:
Pr: 0.0000 0.0000 0.0000
Pr: 0.0000 0.0000 0.2828
Sm: 0.0000 0.0000 0.0921
Sm: 0.0000 0.0000 0.1866
Sm: 0.0000 0.0000 0.3758
Er: 0.0000 0.0000 0.4598

Computed properties:
As for the density of states at the Fermi level: 56.46 states/eV/cell.


Energies relative to the most stable structure are run P 162; run Q 0, reported in meV/atom.


Run P
Pr4SmEr5 | PBE | optimized geometry

abc: 3.536 8.768 11.383
angles: 89.80 89.90 78.43
Space group P-1 (No. 2)
One atom of each set of equivalent atoms:
Pr: 0.031 0.433 0.248
Pr: 0.339 0.819 0.250
Sm: 0.500 0.500 0.500
Er: 0.172 0.155 0.045
Er: 0.176 0.152 0.451
Er: 0.500 0.500 0.000

Computed properties:
As for the density of states at the Fermi level: 14.04 states/eV/cell.


Run Q
Pr4SmEr5 | PBE | optimized geometry

abc: 10.702 10.702 5.991
angles: 90.00 90.00 90.00
Space group I4mm (No. 107)
One atom of each set of equivalent atoms:
Pr: 0.000 0.324 0.000
Sm: 0.000 0.000 0.741
Er: 0.000 0.000 0.217
Er: 0.189 0.189 0.477

Computed properties:
As for the density of states at the Fermi level: 25.37 states/eV/cell.


Energies relative to the most stable structure are run P 0; run Q 41, reported in meV/atom.


Run P
PrSm4Er3 | PBE | optimized geometry

abc: 11.496 7.320 6.316
angles: 90.00 90.00 90.00
Space group Pmn2_1 (No. 31)
One atom of each set of equivalent atoms:
Pr: 0.000 0.125 0.000
Sm: 0.000 0.373 0.504
Sm: 0.000 0.628 0.997
Sm: 0.247 0.626 0.335
Er: 0.000 0.877 0.501
Er: 0.250 0.123 0.333

Computed properties:
As for the density of states at the Fermi level: 27.65 states/eV/cell.


Run Q
PrSm4Er3 | PBE | optimized geometry

abc: 26.059 5.730 3.600
angles: 90.00 90.05 90.00
Space group C2/m (No. 12)
One atom of each set of equivalent atoms:
Pr: 0.000 0.000 0.000
Sm: 0.106 0.000 0.500
Sm: 0.225 0.000 0.499
Er: 0.000 0.500 0.500
Er: 0.153 0.500 0.000

Computed properties:
As for the density of states at the Fermi level: 26.48 states/eV/cell.


Energies relative to the most stable structure are run P 0; run Q 197, reported in meV/atom.


Run P
Pr2SmEr | PBE | optimized geometry

abc: 5.149 5.162 10.285
angles: 90.00 90.00 90.00
Space group Imm2 (No. 44)
One atom of each set of equivalent atoms:
Pr: 0.000 0.000 0.000
Pr: 0.000 0.500 0.249
Sm: 0.000 0.000 0.499
Er: 0.000 0.500 0.750

Computed properties:
As for the density of states at the Fermi level: 11.94 states/eV/cell.


Run Q
Pr2SmEr | PBE | optimized geometry

abc: 4.239 4.239 7.621
angles: 90.00 90.00 90.00
Space group P4/mmm (No. 123)
One atom of each set of equivalent atoms:
Pr: 0.000 0.000 0.241
Sm: 0.500 0.500 0.500
Er: 0.500 0.500 0.000

Computed properties:
As for the density of states at the Fermi level: 7.67 states/eV/cell.


Run R
Pr2SmEr | PBE | optimized geometry

abc: 8.184 8.184 8.184
angles: 90.00 90.00 90.00
Space group Fm-3m (No. 225)
One atom of each set of equivalent atoms:
Pr: 0.250 0.250 0.250
Sm: 0.000 0.000 0.000
Er: 0.000 0.000 0.500

Computed properties:
As for the density of states at the Fermi level: 31.72 states/eV/cell.


Energies relative to the most stable structure are run P 0; run Q 81; run R 98, reported in meV/atom.